Record 1
This record from Alexandria via LeMat-Bulk describes LaOs2Cl after structural relaxation. The functional is PBE.

Calculated values
Total DFT energy (no corrections): -6.3028 eV per atom
Uncorrected formation energy: 23.2 kcal/mol of atoms

a b c (Å): 3.1283 5.1770 8.9832
angles (deg): 90.00 90.00 90.00
With the nearest neighbours (Å) after each atom.
Space group Cmmm (No. 65)
One atom of each set of equivalent atoms:
La  0.0000  0.0000  0.0000  4 Os 2.82, 6 La 3.02-3.13
Os  0.0000  0.5000  0.2608  2 Cl 2.66, 2 La 2.82
Cl  0.0000  0.0000  0.5000  4 Os 2.66

---

Record 2
This record from Alexandria via LeMat-Bulk describes LaOs2Cl after structural relaxation. The functional is PBE.

Calculated values
Total DFT energy (no corrections): -7.1285 eV per atom
Uncorrected formation energy: 4.1 kcal/mol of atoms

a b c (Å): 3.9220 5.5414 8.3353
angles (deg): 90.00 90.00 90.00
With the nearest neighbours (Å) after each atom.
Space group Imm2 (No. 44)
One atom of each set of equivalent atoms:
La  0.0000  0.0000  0.0000  4 Cl 3.08-3.30, 8 Os 3.10-3.41
Os  0.0000  0.0000  0.4870  2 Os 2.34
Os  0.0000  0.5000  0.8344  2 Os 2.34
Cl  0.0000  0.5000  0.2155  2 Os 2.73

---

Record 3
This record from Alexandria via LeMat-Bulk describes LaOs2Cl after structural relaxation. The functional is PBE.

Calculated values
Total DFT energy (no corrections): -6.8945 eV per atom
Uncorrected formation energy: 9.5 kcal/mol of atoms

a b c (Å): 3.0126 3.0126 28.2576
angles (deg): 90.00 90.00 120.00
With the nearest neighbours (Å) after each atom.
Space group R3m (No. 160, hexagonal axes)
One atom of each set of equivalent atoms:
La  0.0000  0.0000  0.0000  3 Cl 2.95, 6 La 3.01, 3 Os 3.27
Os  0.0000  0.0000  0.4990  3 Os 2.58
Os  0.0000  0.0000  0.7647  3 Os 2.58
Cl  0.0000  0.0000  0.2490  3 Os 2.93, 3 La 2.95, 6 Cl 3.01

---

Record 4
This record from Alexandria via LeMat-Bulk describes LaOsCl2 after structural relaxation. The functional is PBE.

Calculated values
Total DFT energy (no corrections): -5.2626 eV per atom
Uncorrected formation energy: -6.9 kcal/mol of atoms

a b c (Å): 6.1936 6.4988 8.9848
angles (deg): 90.00 90.00 90.00
With the nearest neighbours (Å) after each atom.
Space group Fmmm (No. 69)
One atom of each set of equivalent atoms:
La  0.0000  0.0000  0.0000  4 Cl 2.77, 2 Os 3.10
Os  0.0000  0.0000  0.5000  4 Cl 2.77, 2 La 3.10
Cl  0.0000  0.2500  0.2500  2 Os 2.77, 2 La 2.77, 2 Cl 3.10

---

Record 5
This record from Alexandria via LeMat-Bulk describes LaOs2Cl after structural relaxation. The functional is PBE.

Calculated values
Total DFT energy (no corrections): -6.7333 eV per atom
Uncorrected formation energy: 13.3 kcal/mol of atoms

a b c (Å): 4.9579 4.9579 15.3689
angles (deg): 90.00 90.00 90.00
With the nearest neighbours (Å) after each atom.
Space group I4_1/amd (No. 141, origin choice 2)
One atom of each set of equivalent atoms:
La  0.0000  0.2500  0.3750  8 Os 3.37, 4 Cl 3.51
Os  0.0000  0.0000  0.0000  2 Cl 2.29, 2 Os 2.48
Cl  0.0000  0.2500  0.8750  4 Os 2.29

---

Record 6
This record from Alexandria via LeMat-Bulk describes La4Os2Cl3 after structural relaxation. The functional is PBE.

Calculated values
Total DFT energy (no corrections): -6.3793 eV per atom
Uncorrected formation energy: -24.9 kcal/mol of atoms

a b c (Å): 7.2767 4.2018 17.6797
angles (deg): 90.00 90.09 90.00
With the nearest neighbours (Å) after each atom.
Space group C2/m (No. 12)
One atom of each set of equivalent atoms:
La  0.0015  0.0000  0.3046  3 Os 2.96, 3 Cl 2.97-2.98
La  0.1660  0.5000  0.8741  3 Os 2.83-2.84
Os  0.1681  0.5000  0.2089  6 La 2.83-2.96
Cl  0.0000  0.0000  0.0000  6 La 3.29
Cl  0.1648  0.5000  0.5980  3 La 2.97-2.98

---

Record 7
This record from Alexandria via LeMat-Bulk describes LaOsCl2 after structural relaxation. The functional is PBE.

Calculated values
Total DFT energy (no corrections): -5.2581 eV per atom
Uncorrected formation energy: -6.8 kcal/mol of atoms

a b c (Å): 3.6055 4.3480 6.1441
angles (deg): 90.00 90.00 90.00
With the nearest neighbours (Å) after each atom.
Space group Pmm2 (No. 25)
One atom of each set of equivalent atoms:
La  0.0000  0.0000  0.0000  5 Cl 2.88-3.06, 4 Os 3.04
Os  0.5000  0.5000  0.1849  1 Cl 2.31
Cl  0.0000  0.0000  0.4687  1 La 2.88
Cl  0.5000  0.5000  0.8089  1 Os 2.31

---

Record 8
This record from Alexandria via LeMat-Bulk describes La2OsCl after structural relaxation. The functional is PBE.

Calculated values
Total DFT energy (no corrections): -6.1148 eV per atom
Uncorrected formation energy: -8.8 kcal/mol of atoms

a b c (Å): 4.0894 4.0894 11.4907
angles (deg): 90.00 90.00 90.00
With the nearest neighbours (Å) after each atom.
Space group I-4m2 (No. 119)
One atom of each set of equivalent atoms:
La  0.0000  0.0000  0.0000  4 Cl 2.89
La  0.0000  0.5000  0.2500  4 Os 2.89
Os  0.0000  0.5000  0.7500  4 La 2.89
Cl  0.0000  0.0000  0.5000  4 La 2.89

---

Record 9
This record from Alexandria via LeMat-Bulk describes La2OsCl after structural relaxation. The functional is PBE.

Calculated values
Total DFT energy (no corrections): -5.6706 eV per atom
Uncorrected formation energy: 1.4 kcal/mol of atoms

a b c (Å): 3.5852 3.5852 30.4674
angles (deg): 90.00 90.00 120.00
With the nearest neighbours (Å) after each atom.
Space group R3m (No. 160, hexagonal axes)
One atom of each set of equivalent atoms:
La  0.0000  0.0000  0.0000  3 Cl 2.88
La  0.0000  0.0000  0.2306  3 Os 2.76
Os  0.0000  0.0000  0.5042  3 La 2.76
Cl  0.0000  0.0000  0.7324  3 La 2.88

---

Record 10
This record from Alexandria via LeMat-Bulk describes LaOsCl2 after structural relaxation. The functional is PBE.

Calculated values
Total DFT energy (no corrections): -5.3485 eV per atom
Uncorrected formation energy: -8.9 kcal/mol of atoms

a b c (Å): 14.7854 3.3325 4.2288
angles (deg): 90.00 105.85 90.00
With the nearest neighbours (Å) after each atom.
Space group Cm (No. 8)
One atom of each set of equivalent atoms:
La  0.0000  0.0000  0.0000  2 Os 2.75, 6 Cl 3.03-3.05
Os  0.1542  0.5000  0.1475  4 Cl 2.69, 2 La 2.75
Cl  0.1548  0.0000  0.6479  4 Os 2.69
Cl  0.4026  0.0000  0.4071  4 La 3.03, 2 Cl 3.33

---

Record 11
This record from Alexandria via LeMat-Bulk describes LaOs2Cl after structural relaxation. The functional is PBE.

Calculated values
Total DFT energy (no corrections): -6.7331 eV per atom
Uncorrected formation energy: 13.3 kcal/mol of atoms

a b c (Å): 3.0826 5.0959 5.5015
angles (deg): 90.00 90.00 90.00
With the nearest neighbours (Å) after each atom.
Space group Pmmm (No. 47)
One atom of each set of equivalent atoms:
La  0.0000  0.0000  0.0000  2 Cl 2.75
Os  0.5000  0.5000  0.2059  1 Os 2.27
Cl  0.0000  0.0000  0.5000  2 La 2.75

---

Record 12
This record from Alexandria via LeMat-Bulk describes LaOs2Cl after structural relaxation. The functional is PBE.

Calculated values
Total DFT energy (no corrections): -6.6218 eV per atom
Uncorrected formation energy: 15.8 kcal/mol of atoms

a b c (Å): 5.1821 5.1821 5.6688
angles (deg): 90.00 90.00 90.00
With the nearest neighbours (Å) after each atom.
Space group I-4m2 (No. 119)
One atom of each set of equivalent atoms:
La  0.0000  0.0000  0.0000  6 Os 2.83-2.95, 4 Cl 2.95
Os  0.0000  0.0000  0.5000  2 La 2.83, 4 Cl 2.95, 4 Os 2.95
Os  0.0000  0.5000  0.7500  2 Cl 2.83, 4 La 2.95, 4 Os 2.95
Cl  0.0000  0.5000  0.2500  6 Os 2.83-2.95, 4 La 2.95

---

Record 13
This record from Alexandria via LeMat-Bulk describes La2OsCl after structural relaxation. The functional is PBE.

Calculated values
Total DFT energy (no corrections): -5.5936 eV per atom
Uncorrected formation energy: 3.2 kcal/mol of atoms

a b c (Å): 7.1730 7.1730 7.1730
angles (deg): 90.00 90.00 90.00
With the nearest neighbours (Å) after each atom.
Space group F-43m (No. 216)
One atom of each set of equivalent atoms:
La  0.0000  0.0000  0.0000  4 Os 3.11, 4 La 3.11
La  0.2500  0.2500  0.2500  4 La 3.11, 4 Cl 3.11
Os  0.2500  0.2500  0.7500  4 Cl 3.11, 4 La 3.11
Cl  0.0000  0.0000  0.5000  4 La 3.11, 4 Os 3.11

---

Record 14
This record from Alexandria via LeMat-Bulk describes LaOs2Cl after structural relaxation. The functional is PBE.

Calculated values
Total DFT energy (no corrections): -6.2076 eV per atom
Uncorrected formation energy: 25.4 kcal/mol of atoms

a b c (Å): 3.0399 3.0399 7.8935
angles (deg): 90.00 90.00 90.00
With the nearest neighbours (Å) after each atom.
Space group P4/mmm (No. 123)
One atom of each set of equivalent atoms:
La  0.0000  0.0000  0.0000  4 La 3.04, 8 Os 3.18
Os  0.5000  0.5000  0.2977  4 Cl 2.68
Cl  0.0000  0.0000  0.5000  8 Os 2.68

---

Record 15
This record from Alexandria via LeMat-Bulk describes La2OsCl2 after structural relaxation. The functional is PBE.

Calculated values
Total DFT energy (no corrections): -5.7300 eV per atom
Uncorrected formation energy: -17.9 kcal/mol of atoms

a b c (Å): 7.8101 7.8101 4.0819
angles (deg): 90.00 90.00 90.00
With the nearest neighbours (Å) after each atom.
Space group P4/mbm (No. 127)
One atom of each set of equivalent atoms:
La  0.1828  0.3172  0.0000  2 Os 2.86, 2 Cl 2.90
Os  0.0000  0.0000  0.0000  4 La 2.86
Cl  0.1305  0.6305  0.5000  1 Cl 2.88, 6 La 2.90-3.21